[1]
This record from Alexandria describes CaPrBeN2 after structural relaxation. The functional is PBE-GGA.

The magnetization is 0.0 μB/cell. For the formation energy without anion corrections, the calculation gives -3.6 eV/f.u. As for the density of states at the Fermi level: 1.5 states/eV/f.u.

a = 5.7519 Å, b = 4.1725 Å, c = 6.7393 Å
α = 90.00°, β = 105.22°, γ = 90.00°
Closest atoms and distances in Å follow each position.
Positions (direct):
Ca (0.0000, 0.0466, 0.2500)  4 N 2.39-2.53, 2 Be 2.53
Ca (0.0000, 0.9534, 0.7500)  4 N 2.39-2.53, 2 Be 2.53
Pr (0.5000, 0.3093, 0.7500)  4 N 2.53-2.66
Pr (0.5000, 0.6907, 0.2500)  4 N 2.53-2.66
Be (0.0000, 0.5000, 0.0000)  2 N 1.57
Be (0.0000, 0.5000, 0.5000)  2 N 1.57
N (0.2303, 0.2913, 0.0161)  1 Be 1.57
N (0.2303, 0.7087, 0.5161)  1 Be 1.57
N (0.7697, 0.2913, 0.4839)  1 Be 1.57
N (0.7697, 0.7087, 0.9839)  1 Be 1.57

[2]
This record from Alexandria describes Hf3CuP after structural relaxation. The functional is PBE-GGA.

The value obtained for the energy above the most stable polymorph in this dataset is 0.0 meV per atom. The magnetization is 0.0 μB/cell. As for the energy relative to the elements: -0.398 eV per atom. As for the density of states at the Fermi level: 2.8 states/eV/f.u.

a = 5.7449 Å, b = 5.7449 Å, c = 8.0474 Å
α = 111.82°, β = 111.82°, γ = 52.23°
Closest atoms and distances in Å follow each position.
Positions (direct):
Hf (0.0802, 0.0802, 0.3534)  3 P 2.62-2.63, 1 Cu 2.70
Hf (0.3287, 0.3287, 0.8774)  1 P 2.48, 3 Cu 2.70-2.72
Hf (0.3779, 0.3779, 0.2888)  2 P 2.49-2.55, 1 Cu 2.75
Hf (0.6221, 0.6221, 0.7112)  2 P 2.49-2.55, 1 Cu 2.75
Hf (0.6713, 0.6713, 0.1226)  1 P 2.48, 3 Cu 2.70-2.72
Hf (0.9198, 0.9198, 0.6466)  3 P 2.62-2.63, 1 Cu 2.70
Cu (0.1164, 0.1164, 0.9956)  1 Cu 2.43, 3 Hf 2.70
Cu (0.8836, 0.8836, 0.0044)  1 Cu 2.43, 3 Hf 2.70
P (0.3504, 0.3504, 0.5822)  6 Hf 2.48-2.63
P (0.6496, 0.6496, 0.4178)  6 Hf 2.48-2.63

[3]
This record from Alexandria describes ThNp4As5 after structural relaxation. The functional is PBE-GGA.

The magnetization is 15.9 μB/cell. As for the energy relative to the elements: -0.832 eV per atom. As for the density of states at the Fermi level: 34.5 states/eV/f.u.

a = 7.1673 Å, b = 7.1673 Å, c = 10.1263 Å
α = 117.98°, β = 117.98°, γ = 33.70°
Closest atoms and distances in Å follow each position.
Positions (direct):
Th (0.0000, 0.0000, 0.0000)  6 As 2.98-2.99
Np (0.2014, 0.2014, 0.7959)  6 As 2.91-2.93
Np (0.4024, 0.4024, 0.6010)  6 As 2.90-2.93
Np (0.5976, 0.5976, 0.3990)  6 As 2.90-2.93
Np (0.7986, 0.7986, 0.2041)  6 As 2.91-2.93
As (0.0000, 0.0000, 0.5000)  6 Np 2.91-2.92
As (0.2016, 0.2016, 0.3066)  5 Np 2.90-2.92, 1 Th 2.98
As (0.3947, 0.3947, 0.1025)  4 Np 2.91-2.93, 2 Th 2.99
As (0.6053, 0.6053, 0.8975)  4 Np 2.91-2.93, 2 Th 2.99
As (0.7984, 0.7984, 0.6934)  5 Np 2.90-2.92, 1 Th 2.98

[4]
This record from Alexandria describes Sm2HfPt after structural relaxation. The functional is PBE-GGA.

The magnetization is 1.0 μB/cell. As for the energy relative to the elements: 0.060 eV per atom. As for the density of states at the Fermi level: 3.7 states/eV/f.u.

a = 10.5307 Å, b = 10.5307 Å, c = 10.5307 Å
α = 19.35°, β = 19.35°, γ = 19.35°
Closest atoms and distances in Å follow each position.
Positions (direct):
Sm (0.1018, 0.1018, 0.1018)  3 Pt 2.87, 1 Hf 3.15
Sm (0.8982, 0.8982, 0.8982)  3 Pt 2.87, 1 Hf 3.15
Hf (0.0000, 0.0000, 0.0000)  2 Sm 3.15
Pt (0.5000, 0.5000, 0.5000)  6 Sm 2.87